A relaxed structure of Zn7H10S2O18, computed with PBE.

Cell: 5.5736 8.0853 9.1239 Å, 67.08 85.61 84.48°
Last column: nearest neighbours and their distance in Å.
Fractional positions:
Zn 0.0000 0.0000 0.0000  4 O 2.05-2.12
Zn 0.0028 0.3406 0.6662  6 O 2.10-2.24
Zn 0.4619 0.6517 0.6074  4 O 1.97-2.03
Zn 0.4940 0.8124 0.1924  4 O 2.02-2.12
Zn 0.5060 0.1876 0.8076  4 O 2.02-2.12
Zn 0.5381 0.3483 0.3926  4 O 1.97-2.03
Zn 0.9972 0.6594 0.3338  6 O 2.10-2.24
H 0.1128 0.3201 0.3997  1 O 0.99
H 0.2210 0.8964 0.3997  1 O 0.99
H 0.2228 0.6582 0.0701  1 O 0.98
H 0.2344 0.9893 0.7501  1 O 0.98
H 0.2574 0.4444 0.8491  1 O 0.99
H 0.7426 0.5556 0.1509  1 O 0.99
H 0.7656 0.0107 0.2499  1 O 0.98
H 0.7772 0.3418 0.9299  1 O 0.98
H 0.7790 0.1036 0.6003  1 O 0.99
H 0.8872 0.6799 0.6003  1 O 0.99
S 0.2882 0.2232 0.1746  4 O 1.47-1.52
S 0.7118 0.7768 0.8254  4 O 1.47-1.52
O 0.0972 0.1593 0.3019  1 S 1.48
O 0.1851 0.4000 0.4409  1 H 0.99
O 0.1975 0.0869 0.7888  1 H 0.98
O 0.1972 0.7505 0.1157  1 H 0.98
O 0.2353 0.4084 0.0614  1 S 1.47
O 0.2910 0.7765 0.4081  1 H 0.99
O 0.2983 0.4348 0.7448  1 H 0.99
O 0.3195 0.0982 0.0845  1 S 1.52
O 0.4742 0.7933 0.7476  1 S 1.52
O 0.5258 0.2067 0.2524  1 S 1.52
O 0.6805 0.9018 0.9155  1 S 1.52
O 0.7017 0.5652 0.2552  1 H 0.99
O 0.7090 0.2235 0.5919  1 H 0.99
O 0.7647 0.5916 0.9386  1 S 1.47
O 0.8028 0.2495 0.8843  1 H 0.98
O 0.8025 0.9131 0.2112  1 H 0.98
O 0.8149 0.6000 0.5591  1 H 0.99
O 0.9028 0.8407 0.6981  1 S 1.48

space group	P-1 (2)
ρ	3.6	g cm⁻³
electronic total energy	-187.497	eV/cell